A plane-wave DFT calculation with PBE was carried out for HfNp after structural relaxation.

Unit cell a=3.0084 b=3.0084 c=11.0689 alpha=90.00 beta=90.00 gamma=120.00
With the nearest neighbours (Å) after each atom.
Positions (direct):
Np 0.3333 0.6667 0.7500  6 Np 3.01, 6 Hf 3.27
Np 0.6667 0.3333 0.2500  6 Np 3.01, 6 Hf 3.27
Hf 0.0000 0.0000 0.0000  6 Hf 3.01, 6 Np 3.27
Hf 0.0000 0.0000 0.5000  6 Hf 3.01, 6 Np 3.27

## Properties
Energy   -44.34 eV/cell
ΔH_f (0 K)   0.28 eV/atom
Offset from the most stable computed form   0.000 eV per atom